Entry 1:
# LiAgIN2 | the Alexandria database | PBE | optimized geometry
data_LiAgIN2
_chemical_formula_sum 'Li1 Ag1 I1 N2'
_cell_length_a 4.205
_cell_length_b 4.205
_cell_length_c 5.954
_cell_angle_alpha 90.00
_cell_angle_beta 90.00
_cell_angle_gamma 90.00
_symmetry_space_group_name_H-M 'P 4/m m m'
_symmetry_Int_Tables_number 123
_symmetry_space_group_name_Hall '-P 4 2'
loop_
_atom_site_label
_atom_site_type_symbol
_atom_site_fract_x
_atom_site_fract_y
_atom_site_fract_z
_atom_site_occupancy
Li1 Li 0.000 0.000 0.000 1
Ag1 Ag 0.500 0.500 0.500 1
I1 I 0.000 0.000 0.500 1
N1 N 0.000 0.500 0.000 1
# Total energy = -3.0918 eV/atom
# Magnetization = 4.96 Bohr magnetons per cell
# Formation energy without anion corrections = 7.51 eV per formula unit
# Density = 4255 kg/m³

=====

Entry 2:
# SrPmAu4 | the Alexandria database | PBE | optimized geometry
data_SrPmAu4
_chemical_formula_sum 'Sr4 Pm4 Au16'
_cell_length_a 8.190
_cell_length_b 8.190
_cell_length_c 8.190
_cell_angle_alpha 90.00
_cell_angle_beta 90.00
_cell_angle_gamma 90.00
_symmetry_space_group_name_H-M 'F -4 3 m'
_symmetry_Int_Tables_number 216
_symmetry_space_group_name_Hall 'F -4 2 3'
loop_
_atom_site_label
_atom_site_type_symbol
_atom_site_fract_x
_atom_site_fract_y
_atom_site_fract_z
_atom_site_occupancy
Sr1 Sr 0.000 0.000 0.000 1
Pm1 Pm 0.250 0.250 0.250 1
Au1 Au 0.125 0.125 0.625 1
# Total energy = -3.7724 eV/atom
# Magnetization = 0.00 Bohr magnetons per cell
# Density = 12340 kg/m³
# Formation energy = -0.515 eV per atom

=====

Entry 3:
# Er3TmMg2 | the Alexandria database | PBE | optimized geometry
data_Er3TmMg2
_chemical_formula_sum 'Er3 Tm1 Mg2'
_cell_length_a 3.608
_cell_length_b 3.608
_cell_length_c 12.961
_cell_angle_alpha 90.00
_cell_angle_beta 90.00
_cell_angle_gamma 90.00
_symmetry_space_group_name_H-M 'P 4/m m m'
_symmetry_Int_Tables_number 123
_symmetry_space_group_name_Hall '-P 4 2'
loop_
_atom_site_label
_atom_site_type_symbol
_atom_site_fract_x
_atom_site_fract_y
_atom_site_fract_z
_atom_site_occupancy
Er1 Er 0.000 0.000 0.000 1
Er2 Er 0.000 0.000 0.316 1
Tm1 Tm 0.500 0.500 0.500 1
Mg1 Mg 0.500 0.500 0.156 1
# Total energy = -3.5889 eV/atom
# Magnetization = 0.00 Bohr magnetons per cell
# Density = 7079 kg/m³
# Formation energy = -0.031 eV per atom

=====

Entry 4:
# Ti7Nb2Tl | the Alexandria database | PBE | optimized geometry
data_Ti7Nb2Tl
_chemical_formula_sum 'Ti14 Nb4 Tl2'
_cell_length_a 6.991
_cell_length_b 13.162
_cell_length_c 4.778
_cell_angle_alpha 90.00
_cell_angle_beta 90.00
_cell_angle_gamma 90.00
_symmetry_space_group_name_H-M 'C m m m'
_symmetry_Int_Tables_number 65
_symmetry_space_group_name_Hall '-C 2 2'
loop_
_atom_site_label
_atom_site_type_symbol
_atom_site_fract_x
_atom_site_fract_y
_atom_site_fract_z
_atom_site_occupancy
Ti1 Ti 0.000 0.000 0.000 1
Ti2 Ti 0.000 0.251 0.500 1
Ti3 Ti 0.177 0.394 0.000 1
Nb1 Nb 0.000 0.214 0.000 1
Tl1 Tl 0.000 0.500 0.500 1
# Total energy = -7.0020 eV/atom
# Magnetization = 0.00 Bohr magnetons per cell
# Density = 5479 kg/m³
# Formation energy = 0.775 eV per atom